Entry 1:
The following is a DFT calculation (PBE) of an optimized crystal structure of Ce2NiP4Pt3.

Cell and atoms, written as extended XYZ:
```
10
Lattice="4.285 0.000 0.000 0.000 4.285 0.000 0.000 0.000 9.366" Properties=species:S:1:pos:R:3 pbc="T T T"
P 0.000 0.000 0.000
P 2.142 2.142 0.000
P 2.142 0.000 5.855
P 0.000 2.142 3.511
Pt 0.000 0.000 4.683
Pt 0.000 2.142 1.102
Pt 2.142 0.000 8.264
Ni 2.142 2.142 4.683
Ce 0.000 2.142 7.012
Ce 2.142 0.000 2.354
```

**Volume**: 17.19 A^3/atom
**ΔH_f (0 K)**: -0.97 eV/atom
**Raw total energy**: -67.1 eV per cell
**Total magnetization**: 1.178 μB per formula unit

=====

Entry 2:
The following is a DFT calculation (PBE) of an optimized crystal structure of Mg2Sn2Pt.

Cell and atoms, written as extended XYZ:
```
10
Lattice="6.999 0.000 0.000 0.000 6.999 0.000 0.000 0.000 4.575" Properties=species:S:1:pos:R:3 pbc="T T T"
Sn 2.475 5.975 0.000
Sn 4.524 1.024 0.000
Sn 5.975 4.524 0.000
Sn 1.024 2.475 0.000
Mg 2.325 1.174 2.288
Mg 5.825 2.325 2.288
Mg 1.174 4.674 2.288
Mg 4.674 5.825 2.288
Pt 3.500 3.500 0.000
Pt 0.000 0.000 0.000
```

**Energy relative to the lowest polymorph listed for this composition**: 0.000 eV per atom
**Volume**: 22.41 A^3/atom
**ΔH_f (0 K)**: -0.25 eV/atom
**Raw total energy**: -37.0 eV per cell
**Total magnetization**: 0.000 μB per formula unit

=====

Entry 3:
The following is a DFT calculation (PBE) of an optimized crystal structure of ZrSb2Se.

Cell and atoms, written as extended XYZ:
```
4
Lattice="-2.650 -1.074 4.473 -2.686 -2.137 -4.050 1.795 -2.936 0.359" Properties=species:S:1:pos:R:3 pbc="T T T"
Sb 0.000 0.000 0.000
Sb -2.668 -1.605 0.211
Zr -0.445 -2.537 -1.846
Se -0.428 -2.005 2.416
```

**Volume**: 23.19 A^3/atom
**Raw total energy**: -20.8 eV per cell
**Formation energy without anion corrections**: -0.57 eV/f.u.
**Total magnetization**: 0.000 μB per formula unit

=====

Entry 4:
The following is a DFT calculation (PBE) of an optimized crystal structure of ReSiPt3.

Cell and atoms, written as extended XYZ:
```
5
Lattice="4.832 0.000 0.000 0.000 4.832 0.000 0.000 0.000 4.832" Properties=species:S:1:pos:R:3 pbc="T T T"
Si 2.416 2.416 2.416
Pt 2.416 0.000 0.000
Pt 0.000 2.416 0.000
Pt 0.000 0.000 2.416
Re 0.000 0.000 0.000
```

**Energy relative to the lowest polymorph listed for this composition**: 0.497 eV per atom
**Volume**: 22.56 A^3/atom
**Raw total energy**: -29.3 eV per cell
**Formation energy without anion corrections**: 6.70 eV/f.u.
**Total magnetization**: 0.000 μB per formula unit

=====

Entry 5:
The following is a DFT calculation (PBE) of an optimized crystal structure of V2SiB.

Cell and atoms, written as extended XYZ:
```
8
Lattice="-2.929 0.839 0.799 -1.141 -4.447 0.487 2.288 2.604 5.652" Properties=species:S:1:pos:R:3 pbc="T T T"
V -1.513 0.714 3.019
V -0.259 2.222 6.029
V -0.270 -1.718 3.919
V -1.524 -3.227 0.908
Si 0.511 0.545 4.403
Si -2.293 -1.550 2.534
B -0.638 -0.756 1.560
B -1.145 -0.249 5.377
```

**Energy relative to the lowest polymorph listed for this composition**: 0.000 eV per atom
**Volume**: 11.18 A^3/atom
**Raw total energy**: -64.9 eV per cell
**Formation energy without anion corrections**: -2.09 eV/f.u.
**Total magnetization**: 0.000 μB per formula unit

=====

Entry 6:
The following is a DFT calculation (PBE) of an optimized crystal structure of Hf2USb.

Cell and atoms, written as extended XYZ:
```
4
Lattice="3.276 0.000 0.000 1.638 2.837 0.000 1.638 0.946 9.960" Properties=species:S:1:pos:R:3 pbc="T T T"
Sb 3.276 1.892 4.980
Hf 4.914 2.837 7.391
Hf 1.638 0.946 2.570
U 0.000 0.000 0.000
```

**Energy relative to the lowest polymorph listed for this composition**: 0.194 eV per atom
**Volume**: 23.15 A^3/atom
**Raw total energy**: -34.9 eV per cell
**Formation energy without anion corrections**: 0.42 eV/f.u.
**Total magnetization**: 1.787 μB per formula unit

=====

Entry 7:
The following is a DFT calculation (PBE) of an optimized crystal structure of TaCrP2S.

Cell and atoms, written as extended XYZ:
```
5
Lattice="4.826 0.000 0.000 0.000 4.826 0.000 0.000 0.000 4.660" Properties=species:S:1:pos:R:3 pbc="T T T"
Ta 0.000 0.000 0.000
S 0.000 0.000 2.330
P 2.413 0.000 0.000
P 0.000 2.413 0.000
Cr 2.413 2.413 2.330
```

**Energy relative to the lowest polymorph listed for this composition**: 0.211 eV per atom
**Volume**: 21.71 A^3/atom
**Raw total energy**: -31.9 eV per cell
**Formation energy without anion corrections**: 4.50 eV/f.u.
**Total magnetization**: 0.143 μB per formula unit

=====

Entry 8:
The following is a DFT calculation (PBE) of an optimized crystal structure of ThCo2Ru.

Cell and atoms, written as extended XYZ:
```
4
Lattice="4.214 0.000 0.000 2.107 3.650 0.000 2.107 1.217 4.639" Properties=species:S:1:pos:R:3 pbc="T T T"
Co 6.322 3.650 2.666
Co 2.107 1.217 1.973
Ru 4.214 2.433 2.319
Th 0.000 0.000 0.000
```

**Volume**: 17.84 A^3/atom
**ΔH_f (0 K)**: -0.13 eV/atom
**Raw total energy**: -31.4 eV per cell
**Total magnetization**: 1.785 μB per formula unit

=====

Entry 9:
The following is a DFT calculation (PBE) of an optimized crystal structure of Mg2CdAs.

Cell and atoms, written as extended XYZ:
```
4
Lattice="-1.687 -5.299 1.354 3.615 -4.355 -0.846 0.089 5.179 2.435" Properties=species:S:1:pos:R:3 pbc="T T T"
Mg 0.000 0.000 0.000
Mg 2.334 -2.002 0.921
Cd -0.317 -2.473 2.022
As 0.964 -4.827 0.254
```

**Energy relative to the lowest polymorph listed for this composition**: 0.077 eV per atom
**Volume**: 20.86 A^3/atom
**ΔH_f (0 K)**: -0.15 eV/atom
**Raw total energy**: -9.4 eV per cell
**Total magnetization**: 0.000 μB per formula unit

=====

Entry 10:
The following is a DFT calculation (PBE) of an optimized crystal structure of CaCePmMg.

Cell and atoms, written as extended XYZ:
```
4
Lattice="-5.297 1.406 -1.426 -3.364 -3.807 -2.502 -4.376 -2.208 2.835" Properties=species:S:1:pos:R:3 pbc="T T T"
Pm -9.778 -3.457 -0.820
Ce 0.000 0.000 0.000
Mg -3.259 -1.152 -0.273
Ca -6.519 -2.305 -0.547
```

**Volume**: 32.10 A^3/atom
**ΔH_f (0 K)**: 0.19 eV/atom
**Raw total energy**: -13.5 eV per cell
**Total magnetization**: 2.082 μB per formula unit

=====

Entry 11:
The following is a DFT calculation (PBE) of an optimized crystal structure of LiNdYMn.

Cell and atoms, written as extended XYZ:
```
4
Lattice="-2.329 -3.900 2.405 -0.968 -4.369 -2.530 2.638 -4.264 1.132" Properties=species:S:1:pos:R:3 pbc="T T T"
Li -0.330 -6.267 0.504
Mn 0.000 0.000 0.000
Y -0.165 -3.133 0.252
Nd -0.495 -9.400 0.755
```

**Volume**: 24.01 A^3/atom
**ΔH_f (0 K)**: 0.15 eV/atom
**Raw total energy**: -21.7 eV per cell
**Total magnetization**: 2.563 μB per formula unit

=====

Entry 12:
The following is a DFT calculation (PBE) of an optimized crystal structure of LiNi2Se.

Cell and atoms, written as extended XYZ:
```
4
Lattice="-2.345 -3.457 1.822 0.934 -3.982 -2.012 2.582 3.321 1.754" Properties=species:S:1:pos:R:3 pbc="T T T"
Ni 0.000 0.000 0.000
Ni 1.405 -2.190 -0.176
Li -0.235 -1.928 1.741
Se -0.706 -3.720 -0.095
```

**Volume**: 12.18 A^3/atom
**Raw total energy**: -17.7 eV per cell
**Formation energy without anion corrections**: -0.77 eV/f.u.
**Total magnetization**: 0.000 μB per formula unit